ZrCrO4 (GGA-PBEsol, relaxed); uncorrected formation energy = -2.609 eV/atom; symmetry = Pbcn, No. 60; spin magnetization = 0.3333 μB per atom; total energy = -9.33 eV per atom; density of states at the Fermi level = 4.2 states/eV/f.u.
1.0
-4.5167 -1.2695 0.0836
0.0370 -0.4485 -4.8229
3.1272 -11.0531 1.0523
Zr Cr O
4 4 16
Direct
0.0000 0.2499 0.1712
0.0000 0.7500 0.8288
0.5000 0.2502 0.6712
0.4999 0.7500 0.3288
0.9999 0.7502 0.5649
0.5000 0.7499 0.0649
0.0000 0.2501 0.4351
0.5000 0.2499 0.9351
0.7776 0.4089 0.3165
0.7775 0.9089 0.6835
0.7224 0.9088 0.1835
0.7225 0.4088 0.8165
0.2776 0.5911 0.1835
0.2776 0.0911 0.8165
0.2224 0.5912 0.6836
0.2225 0.0912 0.3165
0.7246 0.4298 0.0524
0.7246 0.9298 0.9476
0.7754 0.9300 0.4475
0.7754 0.4300 0.5524
0.2246 0.5701 0.4476
0.2246 0.0702 0.5525
0.2753 0.0700 0.0524
0.2754 0.5700 0.9475